Entry from OQMD via LeMat-Bulk: a relaxed structure of ZrNi (PBE).

Cell lengths 3.2774, 9.9466, 4.0963 Å; angles 90.00, 90.00, 90.00 degrees
Space group Cmcm (No. 63)
Unique sites:
Zr 0.0000 0.1393 0.2500 (multiplicity 4)
Ni 0.0000 0.4180 0.2500 (multiplicity 4)

Output
Calculated volume   16.69 A^3/atom
Formation energy   -0.4553 eV/atom

---

Entry from OQMD via LeMat-Bulk: a relaxed structure of SrMg2Hg2 (PBE).

Cell lengths 4.5113, 4.5113, 12.8546 Å; angles 90.00, 90.00, 90.00 degrees
Space group I4/mmm (No. 139)
Unique sites:
Sr 0.0000 0.0000 0.0000 (multiplicity 2)
Mg 0.0000 0.5000 0.2500 (multiplicity 4)
Hg 0.0000 0.0000 0.3866 (multiplicity 4)

Output
Calculated volume   26.16 A^3/atom
Total energy   -7.18 eV per formula unit

---

Entry from OQMD via LeMat-Bulk: a relaxed structure of PrGd2Sn7 (PBE).

Cell lengths 4.5621, 25.6676, 4.6178 Å; angles 90.00, 90.00, 90.00 degrees
Space group Cmmm (No. 65)
Unique sites:
Pr 0.0000 0.0000 0.0000 (multiplicity 2)
Gd 0.0000 0.1870 0.0000 (multiplicity 4)
Sn 0.0000 0.0981 0.5000 (multiplicity 4)
Sn 0.0000 0.2905 0.5000 (multiplicity 4)
Sn 0.0000 0.4025 0.0000 (multiplicity 4)
Sn 0.0000 0.5000 0.5000 (multiplicity 2)

Output
Calculated volume   27.04 A^3/atom
Total energy   -47.79 eV per formula unit

---

Entry from OQMD via LeMat-Bulk: a relaxed structure of SmPuBi (PBE).

Cell lengths 7.3248, 7.3248, 7.3248 Å; angles 90.00, 90.00, 90.00 degrees
Space group F-43m (No. 216)
Unique sites:
Sm 0.0000 0.0000 0.0000 (multiplicity 4)
Pu 0.2500 0.2500 0.2500 (multiplicity 4)
Bi 0.2500 0.2500 0.7500 (multiplicity 4)

Output
Calculated volume   32.75 A^3/atom
Total energy   -22.48 eV per formula unit

---

Entry from OQMD via LeMat-Bulk: a relaxed structure of SmHoInNi2 (PBE).

Cell lengths 3.6974, 3.9253, 14.4477 Å; angles 90.00, 90.00, 90.00 degrees
Space group Amm2 (No. 38)
Unique sites:
Sm 0.0000 0.0000 0.0000 (multiplicity 2)
Ho 0.0000 0.0000 0.7230 (multiplicity 2)
In 0.5000 0.0000 0.3592 (multiplicity 2)
Ni 0.5000 0.0000 0.1640 (multiplicity 2)
Ni 0.5000 0.0000 0.5660 (multiplicity 2)

Output
Calculated volume   20.97 A^3/atom
Total energy   -25.74 eV per formula unit

---

Entry from OQMD via LeMat-Bulk: a relaxed structure of NdAgSnTeS2 (PBE).

Cell lengths 4.1357, 13.9573, 11.3970 Å; angles 90.00, 90.00, 90.00 degrees
Space group Cmcm (No. 63)
Unique sites:
Nd 0.0000 0.0000 0.0000 (multiplicity 4)
Ag 0.0000 0.4836 0.2500 (multiplicity 4)
Sn 0.0000 0.2055 0.7500 (multiplicity 4)
Te 0.0000 0.1198 0.2500 (multiplicity 4)
S 0.0000 0.3721 0.0743 (multiplicity 8)

Output
Calculated volume   27.41 A^3/atom
Total energy   -28.03 eV per formula unit

---

Entry from OQMD via LeMat-Bulk: a relaxed structure of ZrBeTc (PBE).

Cell lengths 6.0768, 6.0768, 6.0768 Å; angles 90.00, 90.00, 90.00 degrees
Space group F-43m (No. 216)
Unique sites:
Zr 0.0000 0.0000 0.0000 (multiplicity 4)
Be 0.2500 0.2500 0.7500 (multiplicity 4)
Tc 0.2500 0.2500 0.2500 (multiplicity 4)

Output
Calculated volume   18.70 A^3/atom
ΔE to the lowest computed polymorph   439.3 meV/atom

---

Entry from OQMD via LeMat-Bulk: a relaxed structure of Tm4MgTlC2 (PBE).

Cell lengths 3.5367, 3.5367, 16.4735 Å; angles 90.00, 90.00, 120.00 degrees
Space group P-6m2 (No. 187)
Unique sites:
Tm 0.0000 0.0000 0.1619 (multiplicity 2)
Tm 0.3333 0.6667 0.3223 (multiplicity 2)
Mg 0.0000 0.0000 0.5000 (multiplicity 1)
Tl 0.3333 0.6667 0.0000 (multiplicity 1)
C 0.6667 0.3333 0.2447 (multiplicity 2)

Output
Calculated volume   22.31 A^3/atom
Total energy   -42.92 eV per formula unit

---

Entry from OQMD via LeMat-Bulk: a relaxed structure of LiTcO4 (PBE).

Cell lengths 4.6141, 5.6760, 4.8052 Å; angles 90.00, 90.06, 90.00 degrees
Space group P2/c (No. 13)
Unique sites:
Li 0.0000 0.1751 0.2500 (multiplicity 2)
Tc 0.5000 0.3070 0.7500 (multiplicity 2)
O 0.2466 0.1221 0.9030 (multiplicity 4)
O 0.2816 0.3942 0.4444 (multiplicity 4)

Output
Calculated volume   10.49 A^3/atom
ΔE to the lowest computed polymorph   81.9 meV/atom

---

Entry from OQMD via LeMat-Bulk: a relaxed structure of K4Zn2SiGe (PBE).

Cell lengths 6.0888, 10.4064, 7.8451 Å; angles 90.00, 90.00, 90.00 degrees
Space group Amm2 (No. 38)
Unique sites:
K 0.0000 0.1699 0.0000 (multiplicity 4)
K 0.5000 0.1708 0.2830 (multiplicity 4)
Zn 0.2518 0.0000 0.6450 (multiplicity 4)
Si 0.5000 0.0000 0.8808 (multiplicity 2)
Ge 0.0000 0.0000 0.4024 (multiplicity 2)

Output
Calculated volume   31.07 A^3/atom
Total energy   -17.71 eV per formula unit

---

Entry from OQMD via LeMat-Bulk: a relaxed structure of ErInAg2O4 (PBE).

Cell lengths 3.3527, 3.3527, 12.6215 Å; angles 90.00, 90.00, 120.00 degrees
Space group P-3m1 (No. 164)
Unique sites:
Er 0.0000 0.0000 0.0000 (multiplicity 1)
In 0.0000 0.0000 0.5000 (multiplicity 1)
Ag 0.3333 0.6667 0.2506 (multiplicity 2)
O 0.3333 0.6667 0.0862 (multiplicity 2)
O 0.3333 0.6667 0.4162 (multiplicity 2)

Output
Calculated volume   15.36 A^3/atom
Total energy   -46.12 eV per formula unit

---

Entry from OQMD via LeMat-Bulk: a relaxed structure of SmYS2Br2 (PBE).

Cell lengths 4.1449, 5.4041, 9.2392 Å; angles 90.00, 90.00, 90.00 degrees
Space group Pmm2 (No. 25)
Unique sites:
Sm 0.0000 0.0000 0.0000 (multiplicity 1)
Y 0.5000 0.5000 0.7400 (multiplicity 1)
S 0.0000 0.5000 0.9356 (multiplicity 1)
S 0.5000 0.0000 0.7951 (multiplicity 1)
Br 0.0000 0.5000 0.5288 (multiplicity 1)
Br 0.5000 0.0000 0.2178 (multiplicity 1)

Output
Calculated volume   34.49 A^3/atom
Total energy   -34.82 eV per formula unit

---

Entry from OQMD via LeMat-Bulk: a relaxed structure of TbScAsO (PBE).

Cell lengths 4.1741, 4.1741, 8.7174 Å; angles 90.00, 90.00, 90.00 degrees
Space group P4/nmm (No. 129, origin choice 2)
Unique sites:
Tb 0.2500 0.2500 0.1134 (multiplicity 2)
Sc 0.2500 0.7500 0.5000 (multiplicity 2)
As 0.2500 0.2500 0.6905 (multiplicity 2)
O 0.2500 0.7500 0.0000 (multiplicity 2)

Output
Calculated volume   18.99 A^3/atom
ΔE to the lowest computed polymorph   17.6 meV/atom

---

Entry from OQMD via LeMat-Bulk: a relaxed structure of Sr2TcNiS6 (PBE).

Cell lengths 11.4052, 6.2747, 6.9982 Å; angles 90.00, 126.84, 90.00 degrees
Space group C2/m (No. 12)
Unique sites:
Sr 0.2443 0.0000 0.2409 (multiplicity 4)
Tc 0.0000 0.0000 0.5000 (multiplicity 2)
Ni 0.0000 0.5000 0.0000 (multiplicity 2)
S 0.0484 0.2616 0.3045 (multiplicity 8)
S 0.2449 0.5000 0.1603 (multiplicity 4)

Output
Calculated volume   20.04 A^3/atom
ΔE to the lowest computed polymorph   6.7 meV/atom

---

Entry from OQMD via LeMat-Bulk: a relaxed structure of AcMgCd (PBE).

Cell lengths 7.3489, 7.3489, 7.3489 Å; angles 90.00, 90.00, 90.00 degrees
Space group F-43m (No. 216)
Unique sites:
Ac 0.0000 0.0000 0.0000 (multiplicity 4)
Mg 0.2500 0.2500 0.2500 (multiplicity 4)
Cd 0.0000 0.0000 0.5000 (multiplicity 4)

Output
Calculated volume   33.07 A^3/atom
ΔE to the lowest computed polymorph   345.4 meV/atom

---

Entry from OQMD via LeMat-Bulk: a relaxed structure of DyMgAgHg (PBE).

Cell lengths 7.0621, 7.0621, 7.0621 Å; angles 90.00, 90.00, 90.00 degrees
Space group F-43m (No. 216)
Unique sites:
Dy 0.0000 0.0000 0.0000 (multiplicity 4)
Mg 0.0000 0.0000 0.5000 (multiplicity 4)
Ag 0.2500 0.2500 0.7500 (multiplicity 4)
Hg 0.2500 0.2500 0.2500 (multiplicity 4)

Output
Calculated volume   22.01 A^3/atom
Total energy   -10.87 eV per formula unit

---

Entry from OQMD via LeMat-Bulk: a relaxed structure of LiSm3Se4 (PBE).

Cell lengths 8.2700, 11.6749, 4.1287 Å; angles 90.00, 90.00, 90.00 degrees
Space group Cmmm (No. 65)
Unique sites:
Li 0.0000 0.0000 0.0000 (multiplicity 2)
Sm 0.0000 0.5000 0.0000 (multiplicity 2)
Sm 0.2500 0.2500 0.5000 (multiplicity 4)
Se 0.0000 0.2437 0.0000 (multiplicity 4)
Se 0.2413 0.0000 0.5000 (multiplicity 4)

Output
Calculated volume   24.91 A^3/atom
Total energy   -44.12 eV per formula unit

---

Entry from OQMD via LeMat-Bulk: a relaxed structure of LiTmNiSn (PBE).

Cell lengths 6.4987, 6.4987, 6.4987 Å; angles 90.00, 90.00, 90.00 degrees
Space group F-43m (No. 216)
Unique sites:
Li 0.0000 0.0000 0.0000 (multiplicity 4)
Tm 0.2500 0.2500 0.2500 (multiplicity 4)
Ni 0.0000 0.0000 0.5000 (multiplicity 4)
Sn 0.2500 0.2500 0.7500 (multiplicity 4)

Output
Calculated volume   17.15 A^3/atom
Total energy   -18.31 eV per formula unit

---

Entry from OQMD via LeMat-Bulk: a relaxed structure of LuGaFeCo (PBE).

Cell lengths 6.2975, 6.2975, 6.2975 Å; angles 90.00, 90.00, 90.00 degrees
Space group F-43m (No. 216)
Unique sites:
Lu 0.0000 0.0000 0.0000 (multiplicity 4)
Ga 0.2500 0.2500 0.2500 (multiplicity 4)
Fe 0.2500 0.2500 0.7500 (multiplicity 4)
Co 0.0000 0.0000 0.5000 (multiplicity 4)

Output
Calculated volume   15.61 A^3/atom
ΔE to the lowest computed polymorph   109.6 meV/atom

---

Entry from OQMD via LeMat-Bulk: a relaxed structure of ErTmTeC (PBE).

Cell lengths 3.7824, 3.7824, 13.8698 Å; angles 90.00, 90.00, 120.00 degrees
Space group P6_3mc (No. 186)
Unique sites:
Er 0.3333 0.6667 0.0000 (multiplicity 2)
Tm 0.3333 0.6667 0.3152 (multiplicity 2)
Te 0.3333 0.6667 0.6578 (multiplicity 2)
C 0.0000 0.0000 0.4075 (multiplicity 2)

Output
Calculated volume   21.48 A^3/atom
Total energy   -24.96 eV per formula unit